# 1
Density functional theory data (PBE) for a relaxed structure of SrCdPb2.

The density of states at the Fermi level comes out at 2.04 states/eV/f.u. As for the magnetization: 0.000 μB per cell. The calculated volume comes out at 255.5 Å³/cell. The formation energy comes out at -16.5 kJ per mole of atoms. The total energy comes out at -2.6746 eV/atom.

The space group is C2/m (No. 12) and the conventional cell measures 6.860, 11.366 and 3.696 Å, with angles of 90.00, 117.54 and 90.00 degrees. The inequivalent atoms are Sr at (0.000, 0.000, 0.000), Cd at (0.000, 0.500, 0.000) and Pb at (0.250, 0.250, 0.500).

=====

# 2
Density functional theory data (PBE) for a relaxed structure of Sr4CdPb3.

The density of states at the Fermi level comes out at 6.18 states/eV/f.u. As for the magnetization: 0.000 μB per cell. The calculated volume comes out at 832.1 Å³/cell. The formation energy comes out at -46.5 kJ per mole of atoms. The total energy comes out at -2.8280 eV/atom.

The space group is R-3m (No. 166, hexagonal axes) and the conventional cell measures 5.8047, 5.8047 and 28.5160 Å, with angles of 90.00, 90.00 and 120.00 degrees. The inequivalent atoms are Sr at (0.0000, 0.0000, 0.1248), Sr at (0.0000, 0.0000, 0.3750), Cd at (0.0000, 0.0000, 0.0000), Pb at (0.0000, 0.0000, 0.2523) and Pb at (0.0000, 0.0000, 0.5000).

=====

# 3
Density functional theory data (PBE) for a relaxed structure of Sr2Cd8Pb.

The density of states at the Fermi level comes out at 4.20 states/eV/f.u. As for the magnetization: 0.000 μB per cell. The calculated volume comes out at 609.3 Å³/cell. The formation energy comes out at -17.4 kJ per mole of atoms. The total energy comes out at -1.4885 eV/atom.

The space group is C2/m (No. 12) and the conventional cell measures 6.328, 18.757 and 5.859 Å, with angles of 90.00, 118.82 and 90.00 degrees. The inequivalent atoms are Sr at (0.000, 0.157, 0.000), Cd at (0.000, 0.246, 0.500), Cd at (0.128, 0.371, 0.290), Cd at (0.177, 0.500, 0.828) and Pb at (0.000, 0.000, 0.500).

=====

# 4
Density functional theory data (PBE) for a relaxed structure of SrCd2Pb.

The density of states at the Fermi level comes out at 2.19 states/eV/f.u. As for the magnetization: 0.000 μB per cell. The calculated volume comes out at 243.0 Å³/cell. The formation energy comes out at -12.2 kJ per mole of atoms. The total energy comes out at -1.9311 eV/atom.

The space group is C2/m (No. 12) and the conventional cell measures 6.770, 11.778 and 3.507 Å, with angles of 90.00, 119.64 and 90.00 degrees. The inequivalent atoms are Sr at (0.000, 0.000, 0.000), Cd at (0.250, 0.250, 0.500) and Pb at (0.000, 0.500, 0.000).